1.
Compound: UReSb
Source: the Alexandria database
Functional: PBE
Structure: relaxed

Summary:
As for the space-group type: No. 12. Its density of states at the Fermi level is 1.62 states/eV/atom. As for the uncorrected formation energy: 8.2 kJ per mole of atoms.

Lattice parameters (Å, degrees): 11.3965 11.3965 2.9773 91.79 91.79 21.32
Fractional coordinates of all 6 atoms:
U  0.1520  0.1520  0.0309
U  0.8480  0.8480  0.9691
Re  0.2712  0.2712  0.3115
Re  0.7288  0.7288  0.6885
Sb  0.4318  0.4318  0.4878
Sb  0.5682  0.5682  0.5122

---

2.
Compound: U2ReSb
Source: the Alexandria database
Functional: PBE
Structure: relaxed

Summary:
As for the space-group type: No. 166. Its density of states at the Fermi level is 1.81 states/eV/atom. As for the uncorrected formation energy: 18.3 kJ per mole of atoms.

Lattice parameters (Å, degrees): 10.2023 10.2023 10.2023 17.42 17.42 17.42
Fractional coordinates of all 4 atoms:
U  0.2418  0.2418  0.2418
U  0.7582  0.7582  0.7582
Re  0.5000  0.5000  0.5000
Sb  0.0000  0.0000  0.0000

---

3.
Compound: VRe2Sb2
Source: the Alexandria database
Functional: PBE
Structure: relaxed

Summary:
As for the space-group type: No. 123. Its density of states at the Fermi level is 2.29 states/eV/atom. As for the uncorrected formation energy: 250.0 kJ per mole of atoms.

Lattice parameters (Å, degrees): 4.8539 4.8539 5.4266 90.00 90.00 90.00
Fractional coordinates of all 5 atoms:
V  0.0000  0.0000  0.0000
Re  0.0000  0.5000  0.5000
Re  0.5000  0.0000  0.5000
Sb  0.5000  0.5000  0.0000
Sb  0.5000  0.5000  0.5000

---

Repeat the first record exactly.
Compound: UReSb
Source: the Alexandria database
Functional: PBE
Structure: relaxed

Summary:
As for the space-group type: No. 12. Its density of states at the Fermi level is 1.62 states/eV/atom. As for the uncorrected formation energy: 8.2 kJ per mole of atoms.

Lattice parameters (Å, degrees): 11.3965 11.3965 2.9773 91.79 91.79 21.32
Fractional coordinates of all 6 atoms:
U  0.1520  0.1520  0.0309
U  0.8480  0.8480  0.9691
Re  0.2712  0.2712  0.3115
Re  0.7288  0.7288  0.6885
Sb  0.4318  0.4318  0.4878
Sb  0.5682  0.5682  0.5122